A plane-wave DFT calculation with PBE was carried out for an optimized crystal structure of Mg8Ga5Sn.

```
data_Mg8Ga5Sn
_chemical_formula_sum 'Mg16 Ga10 Sn2'
_cell_length_a 8.374
_cell_length_b 8.374
_cell_length_c 8.582
_cell_angle_alpha 90.00
_cell_angle_beta 90.00
_cell_angle_gamma 90.00
_symmetry_space_group_name_H-M 'I -4'
_symmetry_Int_Tables_number 82
loop_
_symmetry_equiv_pos_as_xyz
'x,y,z'
'y,-x,-z'
'-x,-y,z'
'-y,x,-z'
'x+1/2,y+1/2,z+1/2'
'y+1/2,-x+1/2,-z+1/2'
'-x+1/2,-y+1/2,z+1/2'
'-y+1/2,x+1/2,-z+1/2'
loop_
_atom_site_label
_atom_site_type_symbol
_atom_site_fract_x
_atom_site_fract_y
_atom_site_fract_z
Mg1 Mg 0.072 0.178 0.166
Mg2 Mg 0.086 0.334 0.512
Ga1 Ga 0.000 0.500 0.250
Ga2 Ga 0.114 0.273 0.832
Sn1 Sn 0.000 0.000 0.500
```

## Properties
The formation energy is -0.063 eV per atom. The calculation puts the calculated volume at 21.49 A^3/atom. The electronic total energy is -2.342 eV per atom.